This record from Alexandria via LeMat-Bulk describes a geometry-optimized Cs4Rb2InSb2 structure. The functional is PBE-GGA.

Results
E: -2.02 eV per atom
theoretical density: 3331 kg/m3
formation energy from raw total energies: -0.202 eV per atom
total magnetization: 0.06 μB/atom
DOS at the Fermi energy: 0.78 states/eV per atom

Lattice parameters (Å, degrees): 10.123 10.123 5.889 106.61 106.61 69.16
Sites, in units of the cell vectors:
Cs: 0.071 0.657 0.862
Cs: 0.343 0.929 0.138
Cs: 0.657 0.071 0.862
Cs: 0.929 0.343 0.138
Rb: 0.356 0.356 0.352
Rb: 0.644 0.644 0.648
In: 0.000 0.000 0.500
Sb: 0.195 0.195 0.696
Sb: 0.805 0.805 0.304